VASP calculation (PBE) on crystalline Sm3InAu at its relaxed geometry.

- energy of formation from the pure elements (kJ per mole of atoms) = -39.0
- magnetic moment (μB per formula unit) = 0.00

Lattice parameters (Å, degrees): 14.956 6.964 11.288 90.00 92.40 90.00
Space group C2/c (No. 15)
Unique sites:
Sm 0.055 0.205 0.082 x8
Sm 0.118 0.466 0.838 x8
Sm 0.187 0.034 0.331 x8
In 0.127 0.262 0.581 x8
Au 0.000 0.114 0.750 x4
Au 0.250 0.250 0.000 x4

=====

VASP calculation (PBE) on crystalline SmInAu4 at its relaxed geometry.

- energy of formation from the pure elements (kJ per mole of atoms) = -46.5
- magnetic moment (μB per formula unit) = 0.00

Lattice parameters (Å, degrees): 9.562 3.923 7.209 90.00 110.04 90.00
Space group C2/m (No. 12)
Unique sites:
Sm 0.000 0.000 0.000 x2
In 0.000 0.000 0.500 x2
Au 0.163 0.500 0.823 x4
Au 0.168 0.500 0.337 x4